DFT (PBE) results for crystalline NdNiGe2Au at its relaxed geometry.

Summary:
* uncorrected energy: -5.1456 eV/atom
* size of the total moment: 0.00 μB/f.u.

Geometry as CIF:
```
data_NdNiGe2Au
_cell_length_a 4.269
_cell_length_b 4.269
_cell_length_c 10.372
_cell_angle_alpha 90.00
_cell_angle_beta 90.00
_cell_angle_gamma 90.00
_symmetry_space_group_name_H-M 'I -4 m 2'
_symmetry_Int_Tables_number 119
_symmetry_space_group_name_Hall 'I -4 -2'
loop_
_atom_site_label
_atom_site_fract_x
_atom_site_fract_y
_atom_site_fract_z
Nd1 0.000 0.000 0.000
Ni1 0.000 0.500 0.250
Ge1 0.000 0.000 0.380
Au1 0.000 0.500 0.750
```